Density functional theory data (PBE) for a relaxed CuNiSbAu2 crystal.

Lattice parameters (Å, degrees): 4.790 4.790 4.410 90.00 90.00 90.00
Element x y z (fractional)
Cu: 0.000 0.000 0.000
Ni: 0.000 0.000 0.500
Sb: 0.500 0.500 0.000
Au: 0.000 0.500 0.500
Au: 0.500 0.000 0.500

Crystal system: tetragonal
Uncorrected formation energy (meV per atom): 560
Final energy (eV/atom): -3.550